# 1
# PBE Cs2TlInBi2, relaxed
# uncorrected energy: -2.746 eV per atom
# total magnetic moment: 0.0 Bohr magnetons per cell
# energy relative to the elements: -317 meV per atom
data_Cs2TlInBi2
_chemical_formula_sum 'Cs8 Tl4 In4 Bi8'
_space_group_name_H-M_alt 'I b a m'
_space_group_IT_number 72
_space_group_name_Hall '-I 2 2c'
_cell_length_a 7.864
_cell_length_b 17.411
_cell_length_c 7.865
_cell_angle_alpha 90.00
_cell_angle_beta 90.00
_cell_angle_gamma 90.00
loop_
_atom_site_label
_atom_site_type_symbol
_atom_site_fract_x
_atom_site_fract_y
_atom_site_fract_z
_atom_site_occupancy
Cs1 Cs 0.238 0.166 0.000 1
Tl1 Tl 0.000 0.000 0.250 1
In1 In 0.000 0.500 0.250 1
Bi1 Bi 0.227 0.407 0.000 1

# 2
# PBE CsTl2In2Bi2, relaxed
# uncorrected energy: -2.795 eV per atom
# total magnetic moment: 0.0 Bohr magnetons per cell
# energy relative to the elements: -105 meV per atom
data_CsTl2In2Bi2
_chemical_formula_sum 'Cs3 Tl6 In6 Bi6'
_space_group_name_H-M_alt 'R -3 m'
_space_group_IT_number 166
_space_group_name_Hall '-R 3 2"'
_cell_length_a 5.6447
_cell_length_b 5.6447
_cell_length_c 29.1297
_cell_angle_alpha 90.00
_cell_angle_beta 90.00
_cell_angle_gamma 120.00
loop_
_atom_site_label
_atom_site_type_symbol
_atom_site_fract_x
_atom_site_fract_y
_atom_site_fract_z
_atom_site_occupancy
Cs1 Cs 0.0000 0.0000 0.0000 1
Tl1 Tl 0.0000 0.0000 0.1337 1
In1 In 0.0000 0.0000 0.4458 1
Bi1 Bi 0.0000 0.0000 0.2425 1

# 3
# PBE CsTlInBi2, relaxed
# uncorrected energy: -2.961 eV per atom
# total magnetic moment: 0.0 Bohr magnetons per cell
# energy relative to the elements: -217 meV per atom
data_CsTlInBi2
_chemical_formula_sum 'Cs2 Tl2 In2 Bi4'
_space_group_name_H-M_alt 'I -4 m 2'
_space_group_IT_number 119
_space_group_name_Hall 'I -4 -2'
_cell_length_a 5.383
_cell_length_b 5.383
_cell_length_c 13.670
_cell_angle_alpha 90.00
_cell_angle_beta 90.00
_cell_angle_gamma 90.00
loop_
_atom_site_label
_atom_site_type_symbol
_atom_site_fract_x
_atom_site_fract_y
_atom_site_fract_z
_atom_site_occupancy
Cs1 Cs 0.000 0.000 0.000 1
Tl1 Tl 0.000 0.500 0.250 1
In1 In 0.000 0.500 0.750 1
Bi1 Bi 0.000 0.000 0.377 1

# 4
# PBE Cs2Bi2Ir, relaxed
# uncorrected energy: -3.653 eV per atom
# total magnetic moment: 0.0 Bohr magnetons per cell
# energy relative to the elements: 13 meV per atom
data_Cs2Bi2Ir
_chemical_formula_sum 'Cs4 Bi4 Ir2'
_space_group_name_H-M_alt 'P 4/m b m'
_space_group_IT_number 127
_space_group_name_Hall '-P 4 2ab'
_cell_length_a 7.297
_cell_length_b 7.297
_cell_length_c 6.594
_cell_angle_alpha 90.00
_cell_angle_beta 90.00
_cell_angle_gamma 90.00
loop_
_atom_site_label
_atom_site_type_symbol
_atom_site_fract_x
_atom_site_fract_y
_atom_site_fract_z
_atom_site_occupancy
Cs1 Cs 0.178 0.322 0.000 1
Bi1 Bi 0.151 0.651 0.500 1
Ir1 Ir 0.000 0.000 0.500 1